Entry 1:
Below is a geometry-optimized Na2RuSeI structure, with properties calculated at the PBE level.

Geometry as CIF:
```
data_Na2RuSeI
_chemical_formula_sum 'Na2 Ru1 Se1 I1'
_cell_length_a 5.3644
_cell_length_b 5.3644
_cell_length_c 5.9544
_cell_angle_alpha 90.00
_cell_angle_beta 90.00
_cell_angle_gamma 90.00
_symmetry_space_group_name_H-M 'P 4/m m m'
_symmetry_Int_Tables_number 123
_symmetry_space_group_name_Hall '-P 4 2'
loop_
_atom_site_label
_atom_site_type_symbol
_atom_site_fract_x
_atom_site_fract_y
_atom_site_fract_z
Na1 Na 0.0000 0.5000 0.0000
Ru1 Ru 0.0000 0.0000 0.5000
Se1 Se 0.5000 0.5000 0.0000
I1 I 0.5000 0.5000 0.5000
```

Properties
DOS(E_F)	3.5	states/eV per cell
formation energy without anion corrections	0.632	eV per atom
electronic total energy	-2.758	eV per atom

Entry 2:
Below is a geometry-optimized CaCuPSe2 structure, with properties calculated at the PBE level.

Geometry as CIF:
```
data_CaCuPSe2
_chemical_formula_sum 'Ca1 Cu1 P1 Se2'
_cell_length_a 5.2180
_cell_length_b 5.2180
_cell_length_c 4.2052
_cell_angle_alpha 90.00
_cell_angle_beta 90.00
_cell_angle_gamma 90.00
_symmetry_space_group_name_H-M 'P 4/m m m'
_symmetry_Int_Tables_number 123
_symmetry_space_group_name_Hall '-P 4 2'
loop_
_atom_site_label
_atom_site_type_symbol
_atom_site_fract_x
_atom_site_fract_y
_atom_site_fract_z
Ca1 Ca 0.0000 0.0000 0.0000
Cu1 Cu 0.5000 0.5000 0.0000
P1 P 0.5000 0.5000 0.5000
Se1 Se 0.0000 0.5000 0.5000
```

Properties
DOS(E_F)	1.1	states/eV per cell
formation energy without anion corrections	-0.456	eV per atom
electronic total energy	-4.151	eV per atom

- Look up the electronic total energy of the second one.
  -4.151 eV per atom